# CaGaPb | Alexandria | GGA-PBE | relaxed
# E: -3.242 eV per atom
# V: 83.5 Å³/cell
# energy of formation: -0.3296 eV per atom
data_CaGaPb
_chemical_formula_sum 'Ca1 Ga1 Pb1'
_cell_length_a 4.6421
_cell_length_b 4.6421
_cell_length_c 4.4737
_cell_angle_alpha 90.00
_cell_angle_beta 90.00
_cell_angle_gamma 120.00
_symmetry_space_group_name_H-M 'P 3 m 1'
_symmetry_Int_Tables_number 156
loop_
_symmetry_equiv_pos_as_xyz
'x,y,z'
'-y,x-y,z'
'-x+y,-x,z'
'-y,-x,z'
'-x+y,y,z'
'x,x-y,z'
loop_
_atom_site_label
_atom_site_fract_x
_atom_site_fract_y
_atom_site_fract_z
Ca1 0.0000 0.0000 0.0000
Ga1 0.3333 0.6667 0.6469
Pb1 0.6667 0.3333 0.4333